No. 1
First-principles (PBE) data for AcTcGe2 after structural relaxation, as listed in the Alexandria database.

Output
- Fermi-level density of states (states/eV/f.u.) = 2.3
- E (eV for the cell shown) = -23.64
- mass density (g cm⁻³) = 9.3
- energy of formation (kJ/mol of atoms) = 2
- energy relative to the lowest polymorph listed for this composition (meV per atom) = 479

The structure in POSCAR format:
```
AcTcGe2
1.0
5.020 0.000 0.000
2.510 4.347 0.000
2.510 1.449 3.860
Ge Ac Tc
2 1 1
Direct
0.760 0.760 0.719
0.240 0.240 0.281
0.500 0.500 0.500
0.000 0.000 0.000
```

No. 2
First-principles (PBE) data for K2CdMo after structural relaxation, as listed in the Alexandria database.

Output
- Fermi-level density of states (states/eV/f.u.) = 2.7
- E (eV for the cell shown) = -10.04
- mass density (g cm⁻³) = 3.3
- energy of formation (kJ/mol of atoms) = 94

The structure in POSCAR format:
```
K2CdMo
1.0
-4.005 3.645 4.908
-5.164 -3.442 3.860
6.976 1.049 -1.910
Cd Mo K
1 1 2
Direct
0.286 0.786 0.500
0.460 0.460 0.000
0.025 0.025 0.000
0.729 0.229 0.500
```

No. 3
First-principles (PBE) data for ZrSc2Tc after structural relaxation, as listed in the Alexandria database.

Output
- Fermi-level density of states (states/eV/f.u.) = 4.3
- E (eV for the cell shown) = -31.20
- mass density (g cm⁻³) = 5.8
- energy of formation (kJ/mol of atoms) = 9
- energy relative to the lowest polymorph listed for this composition (meV per atom) = 268

The structure in POSCAR format:
```
ZrSc2Tc
1.0
-2.033 3.086 4.073
-3.588 -2.805 -3.083
0.211 -2.309 1.855
Sc Zr Tc
2 1 1
Direct
0.000 0.000 0.000
0.500 0.500 0.000
0.000 0.500 0.500
0.500 0.000 0.500
```

No. 4
First-principles (PBE) data for SrAcTl4 after structural relaxation, as listed in the Alexandria database.

Output
- Fermi-level density of states (states/eV/f.u.) = 5.6
- E (eV for the cell shown) = -16.61
- mass density (g cm⁻³) = 9.7
- energy of formation (kJ/mol of atoms) = -22
- energy relative to the lowest polymorph listed for this composition (meV per atom) = 87

The structure in POSCAR format:
```
SrAcTl4
1.0
-3.201 -3.423 -4.502
3.243 -2.706 -4.938
0.699 -6.455 -0.280
Sr Tl Ac
1 4 1
Direct
0.250 0.250 0.250
0.625 0.625 0.124
0.625 0.625 0.625
0.124 0.625 0.625
0.625 0.124 0.625
0.000 0.000 0.000
```

No. 5
First-principles (PBE) data for Nd4TlGe after structural relaxation, as listed in the Alexandria database.

Output
- Fermi-level density of states (states/eV/f.u.) = 7.8
- E (eV for the cell shown) = -54.37
- mass density (g cm⁻³) = 7.1
- energy of formation (kJ/mol of atoms) = -18
- energy relative to the lowest polymorph listed for this composition (meV per atom) = 231

The structure in POSCAR format:
```
Nd4TlGe
1.0
-4.086 -2.737 -2.456
3.902 -1.352 -4.985
5.296 -8.068 6.332
Tl Nd Ge
2 8 2
Direct
0.430 0.322 0.861
0.570 0.822 0.139
0.431 0.822 0.862
0.870 0.322 0.740
0.569 0.322 0.138
0.130 0.822 0.260
0.288 0.577 0.576
0.288 0.067 0.576
0.712 0.077 0.424
0.712 0.567 0.424
0.839 0.822 0.677
0.161 0.322 0.323
```

No. 6
First-principles (PBE) data for NaZn2SiAu4 after structural relaxation, as listed in the Alexandria database.

Output
- Fermi-level density of states (states/eV/f.u.) = 2.2
- E (eV for the cell shown) = -23.20
- formation energy from raw total energies (eV per atom) = -0.10
- mass density (g cm⁻³) = 11.3

The structure in POSCAR format:
```
NaZn2SiAu4
1.0
-3.879 0.513 -2.267
-3.910 0.308 2.251
-1.758 8.233 0.363
Au Zn Si Na
4 2 1 1
Direct
0.395 0.395 0.814
0.132 0.132 0.603
0.868 0.868 0.397
0.605 0.605 0.186
0.272 0.272 0.183
0.728 0.728 0.817
0.500 0.500 0.500
0.000 0.000 0.000
```

No. 7
First-principles (PBE) data for CsTcTe3 after structural relaxation, as listed in the Alexandria database.

Output
- Fermi-level density of states (states/eV/f.u.) = 5.2
- E (eV for the cell shown) = -20.80
- formation energy from raw total energies (eV per atom) = -0.03
- mass density (g cm⁻³) = 6.1

The structure in POSCAR format:
```
CsTcTe3
1.0
-3.180 -3.275 -3.083
1.183 -4.252 3.296
-4.339 1.241 3.158
Te Tc Cs
3 1 1
Direct
0.000 0.000 0.500
0.000 0.500 0.000
0.500 0.000 0.000
0.000 0.000 0.000
0.500 0.500 0.500
```

No. 8
First-principles (PBE) data for K4ZnW after structural relaxation, as listed in the Alexandria database.

Output
- Fermi-level density of states (states/eV/f.u.) = 2.3
- E (eV for the cell shown) = -10.71
- mass density (g cm⁻³) = 2.4
- energy of formation (kJ/mol of atoms) = 127

The structure in POSCAR format:
```
K4ZnW
1.0
1.528 -6.569 2.842
-4.004 -2.610 5.543
-4.560 -5.617 -1.106
Zn K W
1 4 1
Direct
0.000 0.000 0.000
0.873 0.376 0.376
0.376 0.376 0.873
0.376 0.376 0.376
0.376 0.873 0.376
0.750 0.750 0.750
```

No. 9
First-principles (PBE) data for ThGa2IrPt2 after structural relaxation, as listed in the Alexandria database.

Output
- Fermi-level density of states (states/eV/f.u.) = 2.3
- E (eV for the cell shown) = -37.74
- mass density (g cm⁻³) = 12.9
- energy of formation (kJ/mol of atoms) = -53

The structure in POSCAR format:
```
ThGa2IrPt2
1.0
4.722 0.000 0.000
0.000 4.722 0.000
0.000 0.000 5.488
Ir Th Pt Ga
1 1 2 2
Direct
0.000 0.000 0.000
0.000 0.000 0.500
0.500 0.500 0.740
0.500 0.500 0.260
0.500 0.000 0.000
0.000 0.500 0.000
```

No. 10
First-principles (PBE) data for Nd2MnHg after structural relaxation, as listed in the Alexandria database.

Output
- Fermi-level density of states (states/eV/f.u.) = 4.7
- E (eV for the cell shown) = -19.22
- mass density (g cm⁻³) = 8.5
- energy of formation (kJ/mol of atoms) = -5
- energy relative to the lowest polymorph listed for this composition (meV per atom) = 36

The structure in POSCAR format:
```
Nd2MnHg
1.0
-4.129 3.085 -1.340
-2.571 -0.837 -4.588
-4.938 -1.995 0.040
Mn Nd Hg
1 2 1
Direct
0.500 0.500 0.500
0.250 0.250 0.250
0.750 0.750 0.750
0.000 0.000 0.000
```

No. 11
First-principles (PBE) data for YPa2Mn after structural relaxation, as listed in the Alexandria database.

Output
- Fermi-level density of states (states/eV/f.u.) = 6.9
- E (eV for the cell shown) = -33.96
- mass density (g cm⁻³) = 10.2
- energy of formation (kJ/mol of atoms) = 16

The structure in POSCAR format:
```
YPa2Mn
1.0
-0.820 1.454 -3.206
1.291 -1.475 -3.037
-6.863 -5.098 -2.593
Y Mn Pa
1 1 2
Direct
0.500 0.500 0.500
0.000 0.000 0.000
0.274 0.274 0.177
0.726 0.726 0.823
```

No. 12
First-principles (PBE) data for CoAgTe after structural relaxation, as listed in the Alexandria database.

Output
- Fermi-level density of states (states/eV/f.u.) = 2.1
- E (eV for the cell shown) = -12.16
- formation energy from raw total energies (eV per atom) = 0.31
- mass density (g cm⁻³) = 8.4
- energy relative to the lowest polymorph listed for this composition (meV per atom) = 224

The structure in POSCAR format:
```
CoAgTe
1.0
-0.690 -3.937 1.363
-0.171 0.865 -4.130
3.691 -0.754 -0.311
Ag Te Co
1 1 1
Direct
0.000 0.000 0.000
0.333 0.667 0.500
0.667 0.333 0.500
```